Compound: KScS2
Source: Alexandria via LeMat-Bulk
Functional: PBE-GGA
Structure: optimized geometry

Values from the calculation:
Space group: R3m
Mass density in Mg/m³: 2.6
Formation energy (no corrections) in meV per atom: -1739

```
4
Lattice="3.825 -0.001 0.000 1.913 3.313 0.000 -0.001 2.209 7.394" Properties=species:S:1:pos:R:3 pbc="T T T"
K 3.039 2.329 3.552
Sc 3.037 2.329 7.299
S 3.037 4.538 5.881
S 1.125 1.224 1.317
```